Record 1
Density functional theory data (PBE) for a geometry-optimized CsBa2Sn9 structure.

Cell: 11.188 11.188 11.188 Å, 34.62 34.62 34.62°
Sites, in units of the cell vectors:
Cs  0.000  0.000  0.000
Ba  0.141  0.141  0.141
Ba  0.859  0.859  0.859
Sn  0.067  0.596  0.596
Sn  0.347  0.347  0.347
Sn  0.404  0.404  0.933
Sn  0.404  0.933  0.404
Sn  0.500  0.500  0.500
Sn  0.596  0.067  0.596
Sn  0.596  0.596  0.067
Sn  0.653  0.653  0.653
Sn  0.933  0.404  0.404

Properties
**Spin magnetization**: 0.0 μB/cell
**Calculated total energy**: -3.70 eV per atom
**Calculated volume**: 403.4 Å³/cell
**Energy of formation**: -0.31 eV/atom
**Symmetry**: R-3m (166)

Record 2
Density functional theory data (PBE) for a geometry-optimized BaTaGe2O8 structure.

Cell: 8.957 8.957 8.957 Å, 32.37 32.37 32.37°
Sites, in units of the cell vectors:
Ba  0.000  0.000  0.000
Ta  0.500  0.500  0.500
Ge  0.240  0.240  0.240
Ge  0.760  0.760  0.760
O  0.134  0.464  0.753
O  0.247  0.536  0.866
O  0.308  0.308  0.308
O  0.464  0.753  0.134
O  0.536  0.866  0.247
O  0.692  0.692  0.692
O  0.753  0.134  0.464
O  0.866  0.247  0.536

Properties
**ΔE_f (raw)**: -2.007 eV/atom
**Spin magnetization**: 1.1 μB/cell
**Calculated total energy**: -7.23 eV per atom
**Calculated volume**: 183.2 Å³/cell
**Symmetry**: R32 (155)

Record 3
Density functional theory data (PBE) for a geometry-optimized ScPaAlCr structure.

Cell: 4.701 4.701 4.701 Å, 60.00 60.00 60.00°
Sites, in units of the cell vectors:
Sc  0.000  0.000  0.000
Pa  0.750  0.750  0.750
Al  0.250  0.250  0.250
Cr  0.500  0.500  0.500

Properties
**Spin magnetization**: 1.0 μB/cell
**Calculated total energy**: -7.28 eV per atom
**Calculated volume**: 73.5 Å³/cell
**Energy of formation**: 0.02 eV/atom
**Symmetry**: F-43m (216)

Record 4
Density functional theory data (PBE) for a geometry-optimized Nd6Al2Au structure.

Cell: 10.123 10.127 5.155 Å, 90.00 90.00 90.00°
Sites, in units of the cell vectors:
Nd  0.021  0.185  0.000
Nd  0.122  0.621  0.500
Nd  0.185  0.978  0.500
Nd  0.315  0.478  0.000
Nd  0.378  0.121  0.000
Nd  0.479  0.685  0.500
Nd  0.521  0.315  0.500
Nd  0.622  0.879  0.000
Nd  0.685  0.522  0.000
Nd  0.815  0.022  0.500
Nd  0.878  0.379  0.500
Nd  0.979  0.815  0.000
Al  0.202  0.297  0.500
Al  0.298  0.797  0.000
Al  0.702  0.203  0.000
Al  0.798  0.703  0.500
Au  0.000  0.500  0.000
Au  0.500  0.000  0.500

Properties
**Spin magnetization**: 0.0 μB/cell
**Calculated total energy**: -4.66 eV per atom
**Calculated volume**: 528.5 Å³/cell
**Energy of formation**: -0.28 eV/atom
**Symmetry**: Pnnm (58)

Record 5
Density functional theory data (PBE) for a geometry-optimized Ta2Nb2Sb structure.

Cell: 7.837 7.837 7.837 Å, 152.34 152.34 39.52°
Sites, in units of the cell vectors:
Ta  0.097  0.097  0.000
Ta  0.903  0.903  0.000
Nb  0.250  0.750  0.500
Nb  0.750  0.250  0.500
Sb  0.500  0.500  0.000

Properties
**ΔE_f (raw)**: 0.672 eV/atom
**Spin magnetization**: 0.0 μB/cell
**Calculated total energy**: -8.92 eV per atom
**Calculated volume**: 103.5 Å³/cell
**Energy relative to the lowest polymorph listed for this composition**: 1.33 eV per formula unit
**Symmetry**: I4/mmm (139)

Record 6
Density functional theory data (PBE) for a geometry-optimized Tc2Mo structure.

Cell: 6.277 6.277 3.906 Å, 90.00 90.00 143.96°
Sites, in units of the cell vectors:
Tc  0.087  0.913  0.750
Tc  0.253  0.747  0.250
Tc  0.747  0.253  0.750
Tc  0.913  0.087  0.250
Mo  0.413  0.587  0.750
Mo  0.587  0.413  0.250

Properties
**Spin magnetization**: 0.0 μB/cell
**Calculated total energy**: -10.39 eV per atom
**Calculated volume**: 90.5 Å³/cell
**Energy of formation**: 0.13 eV/atom
**Energy relative to the lowest polymorph listed for this composition**: 0.08 eV per formula unit
**Symmetry**: Cmcm (63)